No. 1
# PrY4Tl | the Alexandria database | PBE-GGA | relaxed
data_PrY4Tl
_cell_length_a 10.980
_cell_length_b 10.980
_cell_length_c 6.580
_cell_angle_alpha 90.00
_cell_angle_beta 90.00
_cell_angle_gamma 150.02
_symmetry_space_group_name_H-M 'P 1'
_symmetry_Int_Tables_number 1
_symmetry_space_group_name_Hall 'P 1'
loop_
_atom_site_label
_atom_site_fract_x
_atom_site_fract_y
_atom_site_fract_z
Pr1 0.136 0.864 0.500
Pr2 0.864 0.136 0.000
Y1 0.060 0.940 0.005
Y2 0.255 0.745 0.119
Y3 0.316 0.684 0.637
Y4 0.459 0.541 0.828
Y5 0.541 0.459 0.328
Y6 0.684 0.316 0.137
Y7 0.745 0.255 0.619
Y8 0.940 0.060 0.505
Tl1 0.400 0.600 0.263
Tl2 0.600 0.400 0.763
# * energy: -32.84 eV/f.u.
# * DOS at the Fermi energy: 1.695 states/eV/atom
# * formation energy from the elements: 0.03 eV per atom
# * relative energy among the computed polymorphs: 3.35 kcal/mol of atoms

---

No. 2
# TiInP3 | the Alexandria database | PBE-GGA | relaxed
data_TiInP3
_cell_length_a 4.904
_cell_length_b 4.904
_cell_length_c 4.904
_cell_angle_alpha 90.00
_cell_angle_beta 90.00
_cell_angle_gamma 90.00
_symmetry_space_group_name_H-M 'P 1'
_symmetry_Int_Tables_number 1
_symmetry_space_group_name_Hall 'P 1'
loop_
_atom_site_label
_atom_site_fract_x
_atom_site_fract_y
_atom_site_fract_z
Ti1 0.000 0.000 0.000
In1 0.500 0.500 0.500
P1 0.000 0.500 0.500
P2 0.500 0.000 0.500
P3 0.500 0.500 0.000
# * energy: -20.59 eV/f.u.
# * DOS at the Fermi energy: 1.175 states/eV/atom
# * formation energy from the elements: 1.26 eV per atom
# * relative energy among the computed polymorphs: 25.65 kcal/mol of atoms

---

No. 3
# DyTh2Rh6 | the Alexandria database | PBE-GGA | relaxed
data_DyTh2Rh6
_cell_length_a 7.441
_cell_length_b 7.441
_cell_length_c 7.441
_cell_angle_alpha 149.10
_cell_angle_beta 113.72
_cell_angle_gamma 74.91
_symmetry_space_group_name_H-M 'P 1'
_symmetry_Int_Tables_number 1
_symmetry_space_group_name_Hall 'P 1'
loop_
_atom_site_label
_atom_site_fract_x
_atom_site_fract_y
_atom_site_fract_z
Dy1 0.000 0.000 0.000
Th1 0.332 0.332 0.000
Th2 0.668 0.668 0.000
Rh1 0.088 0.834 0.253
Rh2 0.258 0.500 0.758
Rh3 0.419 0.166 0.253
Rh4 0.581 0.834 0.747
Rh5 0.742 0.500 0.242
Rh6 0.912 0.166 0.747
# * energy: -67.83 eV/f.u.
# * DOS at the Fermi energy: 0.681 states/eV/atom
# * formation energy from the elements: -0.48 eV per atom